Entry 1:
DFT (PBE) results for crystalline HfVNi2 at its relaxed geometry.

Summary:
Offset from the most stable computed form: 28 meV per atom
Energy of formation from the pure elements: -190 meV/atom

a b c (Å): 3.007 3.007 6.251
angles (deg): 90.00 90.00 90.00
Sites, in units of the cell vectors:
Hf 0.000 0.000 0.000
V 0.000 0.000 0.500
Ni 0.500 0.500 0.293
Ni 0.500 0.500 0.707

=====

Entry 2:
DFT (PBE) results for crystalline HfV2Ni9 at its relaxed geometry.

Summary:
Energy of formation from the pure elements: -265 meV/atom

a b c (Å): 3.629 3.629 10.830
angles (deg): 90.00 90.00 90.00
Sites, in units of the cell vectors:
Hf 0.000 0.000 0.000
V 0.000 0.000 0.338
V 0.000 0.000 0.662
Ni 0.000 0.500 0.178
Ni 0.000 0.500 0.500
Ni 0.000 0.500 0.822
Ni 0.500 0.000 0.178
Ni 0.500 0.000 0.500
Ni 0.500 0.000 0.822
Ni 0.500 0.500 0.000
Ni 0.500 0.500 0.338
Ni 0.500 0.500 0.662